# 1
Density functional theory data (PBE) for a geometry-optimized Li2TbZr2S6 structure.

Computed properties:
Raw formation energy   -1.6272 eV per atom
Space group   C2/m
Fermi-level density of states   3.86 states/eV/f.u.

Lattice parameters (Å, degrees): 6.5077 6.5077 6.5852 99.48 99.48 120.39
Closest atoms and distances in Å follow each position.
Positions (direct):
Li: 0.1665 0.8335 0.0000  6 S 2.60-2.71
Li: 0.8335 0.1665 0.0000  6 S 2.60-2.71
Tb: 0.0000 0.0000 0.5000  6 S 2.72-2.73
Zr: 0.3350 0.6650 0.5000  6 S 2.60-2.62
Zr: 0.6650 0.3350 0.5000  6 S 2.60-2.62
S: 0.0779 0.4293 0.7444  2 Zr 2.60-2.62, 2 Li 2.60-2.71, 1 Tb 2.73
S: 0.2632 0.2632 0.2525  2 Zr 2.61, 2 Li 2.71, 1 Tb 2.72
S: 0.4293 0.0779 0.7444  2 Zr 2.60-2.62, 2 Li 2.60-2.71, 1 Tb 2.73
S: 0.5707 0.9221 0.2556  2 Zr 2.60-2.62, 2 Li 2.60-2.71, 1 Tb 2.73
S: 0.7368 0.7368 0.7475  2 Zr 2.61, 2 Li 2.71, 1 Tb 2.72
S: 0.9221 0.5707 0.2556  2 Zr 2.60-2.62, 2 Li 2.60-2.71, 1 Tb 2.73

=====

# 2
Density functional theory data (PBE) for a geometry-optimized LiMg2CuAg structure.

Computed properties:
Formation energy from the elements   436 meV/atom
Space group   P4/mmm
Fermi-level density of states   1.97 states/eV/f.u.

Lattice parameters (Å, degrees): 4.8217 4.8217 4.1464 90.00 90.00 90.00
Closest atoms and distances in Å follow each position.
Positions (direct):
Li: 0.0000 0.0000 0.0000  2 Cu 2.07
Mg: 0.0000 0.5000 0.0000  2 Li 2.41
Mg: 0.5000 0.0000 0.0000  2 Li 2.41
Cu: 0.0000 0.0000 0.5000  2 Li 2.07
Ag: 0.5000 0.5000 0.5000  8 Mg 3.18, 4 Cu 3.41

=====

# 3
Density functional theory data (PBE) for a geometry-optimized CePr4Nd structure.

Computed properties:
Formation energy from the elements   66 meV/atom
Space group   C2/m
Fermi-level density of states   14.47 states/eV/f.u.

Lattice parameters (Å, degrees): 6.3766 6.3766 6.3697 99.53 99.53 120.04
Closest atoms and distances in Å follow each position.
Positions (direct):
Ce: 0.0000 0.0000 0.0000  10 Pr 3.66-3.69, 2 Nd 3.68
Pr: 0.1636 0.8364 0.5000  7 Pr 3.61-3.71, 2 Ce 3.66, 3 Nd 3.66-3.72
Pr: 0.3339 0.6661 0.0000  7 Pr 3.67-3.70, 2 Nd 3.68, 3 Ce 3.68-3.69
Pr: 0.6661 0.3339 0.0000  7 Pr 3.67-3.70, 2 Nd 3.68, 3 Ce 3.68-3.69
Pr: 0.8364 0.1636 0.5000  7 Pr 3.61-3.71, 2 Ce 3.66, 3 Nd 3.66-3.72
Nd: 0.5000 0.5000 0.5000  10 Pr 3.66-3.72, 2 Ce 3.68

=====

# 4
Density functional theory data (PBE) for a geometry-optimized TlInNiPb2 structure.

Computed properties:
Energy above the lowest structure with this stoichiometry   0 meV/atom
Formation energy from the elements   78 meV/atom
Space group   P4/mmm
Fermi-level density of states   3.43 states/eV/f.u.

Lattice parameters (Å, degrees): 5.2365 5.2365 5.0834 90.00 90.00 90.00
Closest atoms and distances in Å follow each position.
Positions (direct):
Tl: 0.0000 0.0000 0.0000  8 Pb 3.65, 4 In 3.70
In: 0.5000 0.5000 0.0000  2 Ni 2.54
Ni: 0.5000 0.5000 0.5000  2 In 2.54, 4 Pb 2.62
Pb: 0.0000 0.5000 0.5000  2 Ni 2.62
Pb: 0.5000 0.0000 0.5000  2 Ni 2.62

=====

- Which value of Fermi-level density of states does entry 3 give?
  14.47 states/eV/f.u.